The following is a DFT calculation (PBE-GGA) of a relaxed structure of Tl2CrBr.

Unit cell a=3.755 b=3.580 c=8.571 alpha=90.00 beta=102.58 gamma=90.00
Space group Pm (No. 6)
Symmetry-distinct sites (fractional):
Tl 0.000 0.000 0.000
Tl 0.365 0.500 0.727
Cr 0.587 0.500 0.177
Br 0.697 0.000 0.394

Its magnetic moment is 4.02 μB/cell. The offset from the most stable computed form is 0.000 eV per atom. The calculation puts the total energy at -0.2894 Ry per atom. The calculation puts the formation energy without anion corrections at 69 meV per atom.

---

The following is a DFT calculation (PBE-GGA) of a relaxed structure of TlCrBr6.

Unit cell a=7.170 b=12.260 c=6.823 alpha=90.00 beta=92.39 gamma=90.00
Space group C2/m (No. 12)
Symmetry-distinct sites (fractional):
Tl 0.000 0.000 0.000
Cr 0.000 0.000 0.500
Br 0.143 0.145 0.725
Br 0.214 0.500 0.707

Its magnetic moment is 5.99 μB/cell. The calculation puts the total energy at -0.2448 Ry per atom. The calculation puts the formation energy without anion corrections at -577 meV per atom.